[1]
DFT (PBEsol) results for a relaxed NaLaScNbO6 crystal.

Cell lengths 5.633, 5.633, 8.013 Å; angles 90.09, 90.09, 90.66 degrees
Atoms (fractional coordinates):
Na 0.254 0.746 0.000
Na 0.746 0.254 0.000
La 0.255 0.745 0.500
La 0.745 0.255 0.500
Sc 0.752 0.752 0.754
Sc 0.248 0.248 0.246
Nb 0.749 0.749 0.237
Nb 0.251 0.251 0.763
O 0.004 0.493 0.719
O 0.493 0.004 0.719
O 0.996 0.507 0.281
O 0.507 0.996 0.281
O 0.810 0.810 0.007
O 0.190 0.190 0.993
O 0.005 0.005 0.680
O 0.995 0.995 0.320
O 0.684 0.684 0.499
O 0.316 0.316 0.501
O 0.494 0.494 0.800
O 0.506 0.506 0.200

Properties
Raw total energy ... -8.590 eV per atom
DOS(E_F) ... 0.0 states/eV/f.u.
Formation energy from raw total energies ... -3.02 eV per atom

***

[2]
DFT (PBEsol) results for a relaxed Na3LaTi2Nb2O12 crystal.

Cell lengths 5.523, 5.523, 7.796 Å; angles 90.10, 90.10, 91.62 degrees
Atoms (fractional coordinates):
Na 0.994 0.006 0.500
Na 0.518 0.482 0.500
Na 0.524 0.476 0.000
La 0.015 0.985 0.000
Ti 0.510 0.984 0.248
Ti 0.016 0.490 0.752
Nb 0.013 0.493 0.260
Nb 0.507 0.987 0.740
O 0.279 0.288 0.242
O 0.271 0.288 0.760
O 0.712 0.729 0.240
O 0.712 0.721 0.758
O 0.535 0.038 0.496
O 0.022 0.549 0.998
O 0.451 0.978 0.002
O 0.962 0.465 0.504
O 0.202 0.805 0.275
O 0.778 0.219 0.208
O 0.195 0.798 0.725
O 0.781 0.222 0.792

Properties
Raw total energy ... -8.280 eV per atom
DOS(E_F) ... 0.0 states/eV/f.u.
Formation energy from raw total energies ... -2.74 eV per atom

***

[3]
DFT (PBEsol) results for a relaxed Na3LaTi2Nb2O12 crystal.

Cell lengths 7.725, 7.804, 7.761 Å; angles 90.00, 90.00, 89.94 degrees
Atoms (fractional coordinates):
Na 0.750 0.750 0.751
Na 0.750 0.750 0.248
Na 0.250 0.250 0.752
Na 0.250 0.250 0.249
Na 0.750 0.250 0.234
Na 0.250 0.750 0.766
La 0.750 0.250 0.734
La 0.250 0.750 0.266
Ti 0.000 0.000 0.500
Ti 0.500 0.500 0.500
Ti 0.000 0.500 0.000
Ti 0.500 0.000 0.000
Nb 0.000 0.500 0.500
Nb 0.500 0.000 0.500
Nb 0.000 0.000 0.000
Nb 0.500 0.500 0.000
O 0.953 0.517 0.752
O 0.548 0.516 0.747
O 0.253 0.548 0.530
O 0.970 0.752 0.465
O 0.530 0.748 0.465
O 0.247 0.952 0.530
O 0.753 0.048 0.470
O 0.470 0.252 0.535
O 0.030 0.248 0.535
O 0.048 0.016 0.253
O 0.453 0.017 0.248
O 0.747 0.452 0.470
O 0.253 0.024 0.959
O 0.452 0.484 0.253
O 0.047 0.483 0.248
O 0.963 0.253 0.978
O 0.537 0.247 0.978
O 0.247 0.476 0.959
O 0.753 0.524 0.041
O 0.463 0.753 0.022
O 0.037 0.747 0.022
O 0.747 0.976 0.041
O 0.547 0.983 0.752
O 0.952 0.984 0.747

Properties
Raw total energy ... -8.284 eV per atom
DOS(E_F) ... 0.0 states/eV/f.u.
Formation energy from raw total energies ... -2.74 eV per atom

***

[4]
DFT (PBEsol) results for a relaxed NaLaNiS2 crystal.

Cell lengths 4.318, 4.628, 4.628 Å; angles 90.00, 90.00, 90.00 degrees
Atoms (fractional coordinates):
Ni 0.000 0.000 0.000
S 0.000 0.000 0.500
S 0.000 0.500 0.000
Na 0.500 0.000 0.000
La 0.500 0.500 0.500

Properties
Raw total energy ... -5.049 eV per atom
DOS(E_F) ... 2.2 states/eV/f.u.
Formation energy from raw total energies ... -0.72 eV per atom

***

Among the records above, which one has the highest raw total energy?
NaLaNiS2

***

Which of these has the lowest formation energy from raw total energies?
NaLaScNbO6

***

Which formula does entry 1 have?
NaLaScNbO6